## one
SiHSeBr2 after structural relaxation, computed with PBE.

Calculated values
Space group   P4/mmm (123)
Mass density   3470 kg/m3
Spin magnetization   0.182 μB/f.u.

Cell and atoms, written as POSCAR:
```
SiHSeBr2
1.0
5.1538 0.0000 0.0000
0.0000 5.1538 0.0000
0.0000 0.0000 4.8259
Si H Se Br
1 1 1 2
direct
0.0000 0.0000 0.0000
0.5000 0.5000 0.5000
0.0000 0.0000 0.5000
0.0000 0.5000 0.0000
0.5000 0.0000 0.0000
```

## two
SiHSeBr2 after structural relaxation, computed with PBE.

Calculated values
Space group   P4/mmm (123)
Mass density   4421 kg/m3
Spin magnetization   0.753 μB/f.u.

Cell and atoms, written as POSCAR:
```
SiHSeBr2
1.0
5.3298 0.0000 0.0000
0.0000 5.3298 0.0000
0.0000 0.0000 3.5417
Si H Se Br
1 1 1 2
direct
0.0000 0.0000 0.0000
0.5000 0.5000 0.5000
0.5000 0.5000 0.0000
0.0000 0.5000 0.5000
0.5000 0.0000 0.5000
```

one is the most stable structure; the next one sits 12.3 kJ/mol of atoms above it.

## one
SnHSeBr2 after structural relaxation, computed with PBE.

Calculated values
Space group   P4/mmm (123)
Mass density   3588 kg/m3
Spin magnetization   1.713 μB/f.u.

Cell and atoms, written as POSCAR:
```
SnHSeBr2
1.0
5.5965 0.0000 0.0000
0.0000 5.5965 0.0000
0.0000 0.0000 5.2965
Sn H Se Br
1 1 1 2
direct
0.0000 0.0000 0.0000
0.5000 0.5000 0.5000
0.0000 0.0000 0.5000
0.0000 0.5000 0.0000
0.5000 0.0000 0.0000
```

## two
SnHSeBr2 after structural relaxation, computed with PBE.

Calculated values
Space group   P4/mmm (123)
Mass density   5343 kg/m3
Spin magnetization   0.869 μB/f.u.

Cell and atoms, written as POSCAR:
```
SnHSeBr2
1.0
5.5541 0.0000 0.0000
0.0000 5.5541 0.0000
0.0000 0.0000 3.6116
Sn H Se Br
1 1 1 2
direct
0.0000 0.0000 0.0000
0.5000 0.5000 0.5000
0.5000 0.5000 0.0000
0.0000 0.5000 0.5000
0.5000 0.0000 0.5000
```

two is the most stable structure; the next one sits 16.3 kJ/mol of atoms above it.

## one
SrHSeBr2 after structural relaxation, computed with PBE.

Calculated values
Space group   P4/mmm (123)
Mass density   4747 kg/m3
Spin magnetization   0.257 μB/f.u.

Cell and atoms, written as POSCAR:
```
SrHSeBr2
1.0
5.4583 0.0000 0.0000
0.0000 5.4583 0.0000
0.0000 0.0000 3.8439
Sr H Se Br
1 1 1 2
direct
0.0000 0.0000 0.0000
0.5000 0.5000 0.5000
0.5000 0.5000 0.0000
0.0000 0.5000 0.5000
0.5000 0.0000 0.5000
```

## two
SrHSeBr2 after structural relaxation, computed with PBE.

Calculated values
Space group   P4/mmm (123)
Mass density   2382 kg/m3
Spin magnetization   2.993 μB/f.u.

Cell and atoms, written as POSCAR:
```
SrHSeBr2
1.0
5.9807 0.0000 0.0000
0.0000 5.9807 0.0000
0.0000 0.0000 6.3813
Sr H Se Br
1 1 1 2
direct
0.0000 0.0000 0.0000
0.5000 0.5000 0.5000
0.0000 0.0000 0.5000
0.0000 0.5000 0.0000
0.5000 0.0000 0.0000
```

one is the most stable structure; the next one sits 37.1 kJ/mol of atoms above it.

## one
SrHSe2Br after structural relaxation, computed with PBE.

Calculated values
Space group   P4/mmm (123)
Mass density   2360 kg/m3
Spin magnetization   4.000 μB/f.u.

Cell and atoms, written as POSCAR:
```
SrHSe2Br
1.0
6.2101 0.0000 0.0000
0.0000 6.2101 0.0000
0.0000 0.0000 5.9567
Sr H Se Br
1 1 2 1
direct
0.0000 0.0000 0.0000
0.5000 0.5000 0.5000
0.0000 0.5000 0.0000
0.5000 0.0000 0.0000
0.0000 0.0000 0.5000
```

## two
SrHSe2Br after structural relaxation, computed with PBE.

Calculated values
Space group   P4/mmm (123)
Mass density   4926 kg/m3
Spin magnetization   0.000 μB/f.u.

Cell and atoms, written as POSCAR:
```
SrHSe2Br
1.0
4.2553 0.0000 0.0000
0.0000 4.2553 0.0000
0.0000 0.0000 6.0777
Sr H Se Br
1 1 2 1
direct
0.0000 0.0000 0.0000
0.5000 0.5000 0.5000
0.0000 0.5000 0.5000
0.5000 0.0000 0.5000
0.5000 0.5000 0.0000
```

two is the most stable structure; the next one sits 75.9 kJ/mol of atoms above it.

## one
TaHSe2Br after structural relaxation, computed with PBE.

Calculated values
Space group   P4/mmm (123)
Mass density   8202 kg/m3
Spin magnetization   1.995 μB/f.u.

Cell and atoms, written as POSCAR:
```
TaHSe2Br
1.0
4.1067 0.0000 0.0000
0.0000 4.1067 0.0000
0.0000 0.0000 5.0391
Ta H Se Br
1 1 2 1
direct
0.0000 0.0000 0.0000
0.5000 0.5000 0.5000
0.0000 0.5000 0.5000
0.5000 0.0000 0.5000
0.5000 0.5000 0.0000
```

## two
TaHSe2Br after structural relaxation, computed with PBE.

Calculated values
Space group   P4/mmm (123)
Mass density   5286 kg/m3
Spin magnetization   1.012 μB/f.u.

Cell and atoms, written as POSCAR:
```
TaHSe2Br
1.0
4.9863 0.0000 0.0000
0.0000 4.9863 0.0000
0.0000 0.0000 5.3040
Ta H Se Br
1 1 2 1
direct
0.0000 0.0000 0.0000
0.5000 0.5000 0.5000
0.0000 0.5000 0.0000
0.5000 0.0000 0.0000
0.0000 0.0000 0.5000
```

two is the most stable structure; the next one sits 64.0 kJ/mol of atoms above it.

## one
TiHSeBr2 after structural relaxation, computed with PBE.

Calculated values
Space group   P4/mmm (123)
Mass density   5170 kg/m3
Spin magnetization   0.006 μB/f.u.

Cell and atoms, written as POSCAR:
```
TiHSeBr2
1.0
5.1162 0.0000 0.0000
0.0000 5.1162 0.0000
0.0000 0.0000 3.5298
Ti H Se Br
1 1 1 2
direct
0.0000 0.0000 0.0000
0.5000 0.5000 0.5000
0.5000 0.5000 0.0000
0.0000 0.5000 0.5000
0.5000 0.0000 0.5000
```

## two
TiHSeBr2 after structural relaxation, computed with PBE.

Calculated values
Space group   P4/mmm (123)
Mass density   3645 kg/m3
Spin magnetization   1.010 μB/f.u.

Cell and atoms, written as POSCAR:
```
TiHSeBr2
1.0
5.1986 0.0000 0.0000
0.0000 5.1986 0.0000
0.0000 0.0000 4.8489
Ti H Se Br
1 1 1 2
direct
0.0000 0.0000 0.0000
0.5000 0.5000 0.5000
0.0000 0.0000 0.5000
0.0000 0.5000 0.0000
0.5000 0.0000 0.0000
```

two is the most stable structure; the next one sits 53.5 kJ/mol of atoms above it.